Record 1
## PrHg2 (PBE)

Data for a relaxed structure of PrHg2.

Calculated values
Formation energy from the elements: -40.2 kJ per mole of atoms
Space-group type: C2/c, No. 15
DOS(E_F): 0.603 states/eV per atom
Final energy: -2.21 eV per atom

Lattice parameters (Å, degrees): 5.5985 5.5985 7.6624 122.10 122.10 60.55
Last column: nearest neighbours and their distance in Å.
Sites, in units of the cell vectors:
Pr: 0.1344 0.8656 0.7500  10 Hg 3.23-3.46
Pr: 0.8656 0.1344 0.2500  10 Hg 3.23-3.46
Hg: 0.1974 0.4662 0.2449  5 Hg 3.21-3.54, 5 Pr 3.23-3.46
Hg: 0.4662 0.1974 0.7449  5 Hg 3.21-3.54, 5 Pr 3.23-3.46
Hg: 0.5338 0.8026 0.2551  5 Hg 3.21-3.54, 5 Pr 3.23-3.46
Hg: 0.8026 0.5338 0.7551  5 Hg 3.21-3.54, 5 Pr 3.23-3.46

Record 2
## PrHg2 (PBE)

Data for a relaxed structure of PrHg2.

Calculated values
Formation energy from the elements: -43.4 kJ per mole of atoms
Space-group type: P6_3/mmc, No. 194
DOS(E_F): 0.700 states/eV per atom
Final energy: -2.24 eV per atom

Lattice parameters (Å, degrees): 5.3239 5.3239 6.5763 90.00 90.00 120.00
Last column: nearest neighbours and their distance in Å.
Sites, in units of the cell vectors:
Pr: 0.3333 0.6667 0.2500  5 Hg 3.07-3.29
Pr: 0.6667 0.3333 0.7500  5 Hg 3.07-3.29
Hg: 0.0000 0.0000 0.0000  8 Hg 3.29-3.49, 6 Pr 3.49
Hg: 0.0000 0.0000 0.5000  8 Hg 3.29-3.49, 6 Pr 3.49
Hg: 0.3333 0.6667 0.7500  5 Pr 3.07-3.29
Hg: 0.6667 0.3333 0.2500  5 Pr 3.07-3.29

Record 3
## PrHg2 (PBE)

Data for a relaxed structure of PrHg2.

Calculated values
Formation energy from the elements: -28.4 kJ per mole of atoms
Space-group type: Fd-3m, No. 227
DOS(E_F): 0.553 states/eV per atom
Final energy: -2.09 eV per atom

Lattice parameters (Å, degrees): 6.0581 6.0581 6.0581 60.00 60.00 60.00
Last column: nearest neighbours and their distance in Å.
Sites, in units of the cell vectors:
Pr: 0.1250 0.1250 0.1250  12 Hg 3.55, 4 Pr 3.71
Pr: 0.8750 0.8750 0.8750  12 Hg 3.55, 4 Pr 3.71
Hg: 0.0000 0.5000 0.5000  6 Hg 3.03
Hg: 0.5000 0.0000 0.5000  6 Hg 3.03
Hg: 0.5000 0.5000 0.0000  6 Hg 3.03
Hg: 0.5000 0.5000 0.5000  6 Hg 3.03

Record 4
## Pr3Hg (PBE)

Data for a relaxed structure of Pr3Hg.

Calculated values
Formation energy from the elements: -16.4 kJ per mole of atoms
Space-group type: I4/mmm, No. 139
DOS(E_F): 1.180 states/eV per atom
Final energy: -3.83 eV per atom

Lattice parameters (Å, degrees): 6.2126 6.2126 6.2126 133.57 133.57 67.76
Last column: nearest neighbours and their distance in Å.
Sites, in units of the cell vectors:
Pr: 0.0000 0.0000 0.0000  4 Hg 3.46, 8 Pr 3.56
Pr: 0.2500 0.7500 0.5000  8 Pr 3.46-3.56, 4 Hg 3.56
Pr: 0.7500 0.2500 0.5000  8 Pr 3.46-3.56, 4 Hg 3.56
Hg: 0.5000 0.5000 0.0000  12 Pr 3.46-3.56